Entry 1:
Crystalline Nd4Ho2Sb3N2 at its relaxed geometry. Source: the Alexandria database, functional PBE.

Calculated values
**Formation energy (no corrections)**: -1116 meV/atom
**ρ**: 7.3 g/cm³

Cell lengths 4.7911, 4.7911, 25.5959 Å; angles 90.00, 90.00, 90.00 degrees
Space group I4/mmm (No. 139)
Symmetry-distinct sites (fractional):
Nd 0.0000 0.5000 0.0844
Ho 0.0000 0.0000 0.1931
Sb 0.0000 0.0000 0.3180
Sb 0.0000 0.0000 0.5000
N 0.0000 0.0000 0.1087

Entry 2:
Crystalline NdHo2SbN4 at its relaxed geometry. Source: the Alexandria database, functional PBE.

Calculated values
**Formation energy (no corrections)**: -818 meV/atom
**ρ**: 8.4 g/cm³

Cell lengths 3.3324, 13.4330, 11.5392 Å; angles 90.00, 90.00, 90.00 degrees
Space group Cmcm (No. 63)
Symmetry-distinct sites (fractional):
Nd 0.0000 0.2375 0.2500
Ho 0.0000 0.3688 0.5035
Sb 0.0000 0.0139 0.7500
N 0.0000 0.0000 0.0000
N 0.0000 0.2119 0.6054
N 0.0000 0.4115 0.7500

Entry 3:
Crystalline NdHoSeN at its relaxed geometry. Source: the Alexandria database, functional PBE.

Calculated values
**Formation energy (no corrections)**: -1660 meV/atom
**ρ**: 8.3 g/cm³

Cell lengths 3.7275, 3.7275, 20.0128 Å; angles 90.00, 90.00, 120.00 degrees
Space group R3m (No. 160, hexagonal axes)
Symmetry-distinct sites (fractional):
Nd 0.0000 0.0000 0.0000
Ho 0.0000 0.0000 0.4669
Se 0.0000 0.0000 0.2295
N 0.0000 0.0000 0.7407

Entry 4:
Crystalline NdHo2SiN4 at its relaxed geometry. Source: the Alexandria database, functional PBE.

Calculated values
**Formation energy (no corrections)**: -1362 meV/atom
**ρ**: 8.3 g/cm³

Cell lengths 3.3729, 11.5663, 11.4859 Å; angles 90.00, 90.00, 90.00 degrees
Space group Cmcm (No. 63)
Symmetry-distinct sites (fractional):
Nd 0.0000 0.0870 0.2500
Ho 0.0000 0.3685 0.0415
Si 0.0000 0.1775 0.7500
N 0.0000 0.0000 0.0000
N 0.0000 0.2650 0.6283
N 0.0000 0.4044 0.2500

Entry 5:
Crystalline NdSmHoN3 at its relaxed geometry. Source: the Alexandria database, functional PBE.

Calculated values
**Formation energy (no corrections)**: -1367 meV/atom
**ρ**: 8.6 g/cm³

Cell lengths 6.1063, 3.5433, 9.1795 Å; angles 90.00, 101.70, 90.00 degrees
Space group P2_1/m (No. 11)
Symmetry-distinct sites (fractional):
Nd 0.1522 0.2500 0.1953
Sm 0.2692 0.7500 0.5466
Ho 0.3515 0.2500 0.8618
N 0.0404 0.2500 0.6739
N 0.2556 0.7500 0.9901
N 0.4627 0.7500 0.3414

Entry 6:
Crystalline NdSm2HoN4 at its relaxed geometry. Source: the Alexandria database, functional PBE.

Calculated values
**Formation energy (no corrections)**: -1497 meV/atom
**ρ**: 8.6 g/cm³

Cell lengths 6.1842, 3.5730, 6.1865 Å; angles 90.00, 109.42, 90.00 degrees
Space group P2/m (No. 10)
Symmetry-distinct sites (fractional):
Nd 0.0000 0.0000 0.0000
Sm 0.5000 0.0000 0.5000
Sm 0.5000 0.5000 0.0000
Ho 0.0000 0.5000 0.5000
N 0.2459 0.0000 0.7433
N 0.2498 0.5000 0.2556

Entry 7:
Crystalline NdHo2SnN4 at its relaxed geometry. Source: the Alexandria database, functional PBE.

Calculated values
**Formation energy (no corrections)**: -891 meV/atom
**ρ**: 8.6 g/cm³

Cell lengths 3.5509, 11.7753, 12.0506 Å; angles 90.00, 90.00, 90.00 degrees
Space group Cmcm (No. 63)
Symmetry-distinct sites (fractional):
Nd 0.0000 0.1163 0.2500
Ho 0.0000 0.3709 0.0349
Sn 0.0000 0.1468 0.7500
N 0.0000 0.0000 0.0000
N 0.0000 0.2645 0.6194
N 0.0000 0.4518 0.2500

Entry 8:
Crystalline NdHo2TaN4 at its relaxed geometry. Source: the Alexandria database, functional PBE.

Calculated values
**Formation energy (no corrections)**: -1304 meV/atom
**ρ**: 9.6 g/cm³

Cell lengths 3.4033, 11.9715, 12.0851 Å; angles 90.00, 90.00, 90.00 degrees
Space group Cmcm (No. 63)
Symmetry-distinct sites (fractional):
Nd 0.0000 0.1001 0.2500
Ho 0.0000 0.3706 0.0337
Ta 0.0000 0.1612 0.7500
N 0.0000 0.0000 0.0000
N 0.0000 0.2593 0.6210
N 0.0000 0.4410 0.2500

Please write out number 1 again, unchanged.
Crystalline Nd4Ho2Sb3N2 at its relaxed geometry. Source: the Alexandria database, functional PBE.

Calculated values
**Formation energy (no corrections)**: -1116 meV/atom
**ρ**: 7.3 g/cm³

Cell lengths 4.7911, 4.7911, 25.5959 Å; angles 90.00, 90.00, 90.00 degrees
Space group I4/mmm (No. 139)
Symmetry-distinct sites (fractional):
Nd 0.0000 0.5000 0.0844
Ho 0.0000 0.0000 0.1931
Sb 0.0000 0.0000 0.3180
Sb 0.0000 0.0000 0.5000
N 0.0000 0.0000 0.1087

Repeat the sixth record exactly.
Crystalline NdSm2HoN4 at its relaxed geometry. Source: the Alexandria database, functional PBE.

Calculated values
**Formation energy (no corrections)**: -1497 meV/atom
**ρ**: 8.6 g/cm³

Cell lengths 6.1842, 3.5730, 6.1865 Å; angles 90.00, 109.42, 90.00 degrees
Space group P2/m (No. 10)
Symmetry-distinct sites (fractional):
Nd 0.0000 0.0000 0.0000
Sm 0.5000 0.0000 0.5000
Sm 0.5000 0.5000 0.0000
Ho 0.0000 0.5000 0.5000
N 0.2459 0.0000 0.7433
N 0.2498 0.5000 0.2556

> Which of these has the highest formation energy (no corrections)?

NdHo2SbN4

> Among the records above, which one has the highest ρ?

NdHo2TaN4